Material: Dy12ErTm6
Method: DFT, PBE
State: optimized geometry

## Properties
- excess energy over the best structure of this formula in the dataset (eV/atom) = 0.000
- E_form (eV per atom) = 0.1364
- calculated volume (Å³/atom) = 32.1

a = 12.8995 Å, b = 12.8995 Å, c = 12.6813 Å
α = 90.00°, β = 90.00°, γ = 120.00°
Last column: nearest neighbours and their distance in Å.
Space group R-3m (No. 166, hexagonal axes)
One atom of each set of equivalent atoms:
Dy  0.0000  0.2636  0.0000 (multiplicity 18)  4 Tm 3.30-3.49, 6 Dy 3.40-3.50, 1 Er 3.40
Dy  0.0495  0.5247  0.1163 (multiplicity 18)  7 Dy 3.15-3.50
Er  0.0000  0.0000  0.0000 (multiplicity 3)  6 Dy 3.40, 6 Tm 3.52
Tm  0.0898  0.1796  0.7715 (multiplicity 18)  4 Dy 3.30-3.49, 2 Tm 3.47, 1 Er 3.52